Record 1
Below is crystalline LaFe2TcPt at its relaxed geometry, with properties calculated at the PBE-GGA level.

Summary:
- formation enthalpy at 0 K (meV/atom) = 1853.0
- symmetry = P4/mmm, No. 123
- density of states at the Fermi level (states/eV/f.u.) = 6.3

a b c (Å): 4.5025 4.5025 5.2098
angles (deg): 90.00 90.00 90.00
Element x y z (fractional)
La (0.0000, 0.0000, 0.0000)
Fe (0.0000, 0.5000, 0.0000)
Fe (0.5000, 0.0000, 0.0000)
Tc (0.5000, 0.5000, 0.5000)
Pt (0.0000, 0.0000, 0.5000)


Record 2
Below is crystalline NpPaRu at its relaxed geometry, with properties calculated at the PBE-GGA level.

Summary:
- formation enthalpy at 0 K (meV/atom) = -67.2
- symmetry = P3m1, No. 156
- density of states at the Fermi level (states/eV/f.u.) = 6.8
- energy above the most stable polymorph in this dataset (meV/atom) = 65

a b c (Å): 4.7055 4.7055 3.0790
angles (deg): 90.00 90.00 120.00
Element x y z (fractional)
Np (0.0000, 0.0000, 0.0000)
Pa (0.3333, 0.6667, 0.7090)
Ru (0.6667, 0.3333, 0.3602)


- formation enthalpy at 0 K of number 1 (LaFe2TcPt)?
  1853.0 meV/atom


- Among the records above, which one has the lowest density of states at the Fermi level?
  LaFe2TcPt